1.
First-principles (GGA-PBE) data for a relaxed structure of InGaBi2, as listed in Alexandria.

Unit cell a=4.558 b=4.990 c=4.990 alpha=90.00 beta=90.00 gamma=90.00
Atoms (fractional coordinates):
Ga  0.500  0.000  0.000
Bi  0.000  0.500  0.000
Bi  0.000  0.000  0.500
In  0.500  0.500  0.500

## Properties
Total magnetic moment ... 0.00 μB/f.u.
Formation enthalpy at 0 K ... 8.01 kJ per mole of atoms
V ... 113.5 Å³/cell
Energy above the lowest structure with this stoichiometry ... 65 meV per atom



2.
First-principles (GGA-PBE) data for a relaxed structure of In12Ga6Bi, as listed in Alexandria.

Unit cell a=8.089 b=8.180 c=9.258 alpha=71.85 beta=67.06 gamma=106.22
Atoms (fractional coordinates):
In  0.880  0.608  0.948
In  0.779  0.256  0.870
In  0.666  0.855  0.851
In  0.168  0.038  0.570
In  0.334  0.145  0.149
In  0.120  0.392  0.052
In  0.511  0.854  0.286
In  0.258  0.429  0.626
In  0.489  0.146  0.714
In  0.221  0.744  0.130
In  0.832  0.962  0.430
In  0.742  0.571  0.374
Ga  0.978  0.329  0.465
Ga  0.574  0.526  0.762
Ga  0.363  0.778  0.689
Ga  0.022  0.671  0.535
Ga  0.426  0.474  0.238
Ga  0.637  0.222  0.311
Bi  0.000  0.000  0.000

## Properties
Total magnetic moment ... 0.00 μB/f.u.
Formation enthalpy at 0 K ... 3.94 kJ per mole of atoms
V ... 476.5 Å³/cell
Energy above the lowest structure with this stoichiometry ... 0 meV per atom



> Which value of energy above the lowest structure with this stoichiometry does entry 2 give?

0 meV per atom



Please write out number 2 again, unchanged.
First-principles (GGA-PBE) data for a relaxed structure of In12Ga6Bi, as listed in Alexandria.

Unit cell a=8.089 b=8.180 c=9.258 alpha=71.85 beta=67.06 gamma=106.22
Atoms (fractional coordinates):
In  0.880  0.608  0.948
In  0.779  0.256  0.870
In  0.666  0.855  0.851
In  0.168  0.038  0.570
In  0.334  0.145  0.149
In  0.120  0.392  0.052
In  0.511  0.854  0.286
In  0.258  0.429  0.626
In  0.489  0.146  0.714
In  0.221  0.744  0.130
In  0.832  0.962  0.430
In  0.742  0.571  0.374
Ga  0.978  0.329  0.465
Ga  0.574  0.526  0.762
Ga  0.363  0.778  0.689
Ga  0.022  0.671  0.535
Ga  0.426  0.474  0.238
Ga  0.637  0.222  0.311
Bi  0.000  0.000  0.000

## Properties
Total magnetic moment ... 0.00 μB/f.u.
Formation enthalpy at 0 K ... 3.94 kJ per mole of atoms
V ... 476.5 Å³/cell
Energy above the lowest structure with this stoichiometry ... 0 meV per atom